No. 1
Here is a relaxed structure of PuCuPdO5 from Alexandria via LeMat-Bulk. Energies are from PBE.

- VASP energy: -0.546 Ry per atom
- E_form (uncorrected): -1381 meV/atom

Cell: 6.5955 9.4508 7.7865 Å, 90.00 111.26 90.00°
With the nearest neighbours (Å) after each atom.
Space group C2/c (No. 15)
Unique sites:
Pu1 0.2500 0.2500 0.0000 (multiplicity 4)  4 O 1.91-2.11
Cu1 0.0000 0.0458 0.2500 (multiplicity 4)  4 O 1.91-1.96
Pd1 0.0000 0.4348 0.2500 (multiplicity 4)  3 O 2.00-2.03
O1 0.0000 0.3502 0.7500 (multiplicity 4)  1 Pd 2.03, 2 Pu 2.25
O2 0.0190 0.1881 0.0741 (multiplicity 8)  1 Pu 1.91, 1 Cu 1.96
O3 0.2469 0.4299 0.1588 (multiplicity 8)  1 Cu 1.91, 1 Pd 2.00, 1 Pu 2.11

=====

No. 2
Here is a relaxed structure of Tm8Sn2Bi from Alexandria via LeMat-Bulk. Energies are from PBE.

- VASP energy: -0.344 Ry per atom
- Formation energy from the elements: -347 meV/atom

Cell: 19.5110 4.8894 6.9197 Å, 90.00 101.90 90.00°
With the nearest neighbours (Å) after each atom.
Space group C2/m (No. 12)
Unique sites:
Tm1 0.0239 0.0000 0.2518 (multiplicity 4)  1 Sn 3.07, 2 Bi 3.08, 1 Tm 3.42
Tm2 0.0951 0.5000 0.9892 (multiplicity 4)  2 Sn 3.34, 9 Tm 3.50-3.74, 1 Bi 3.51
Tm3 0.1610 0.5000 0.5131 (multiplicity 4)  3 Sn 3.06-3.13, 1 Bi 3.12, 2 Tm 3.35
Tm4 0.2179 0.0000 0.8373 (multiplicity 4)  3 Sn 3.18-3.30, 4 Tm 3.35-3.38
Sn1 0.1822 0.0000 0.2660 (multiplicity 4)  9 Tm 3.06-3.34
Bi1 0.0000 0.5000 0.5000 (multiplicity 2)  6 Tm 3.08-3.12

=====

No. 3
Here is a relaxed structure of CsNaHg2 from Alexandria via LeMat-Bulk. Energies are from PBE.

- Excess energy over the best structure of this formula in the dataset: 0.03 eV/f.u.
- VASP energy: -0.068 Ry per atom
- Formation energy from the elements: -229 meV/atom

Cell: 4.2354 4.2354 8.1551 Å, 90.00 90.00 90.00°
With the nearest neighbours (Å) after each atom.
Space group P4/mmm (No. 123)
Unique sites:
Cs1 0.0000 0.0000 0.0000 (multiplicity 1)  8 Hg 3.95, 2 Na 4.08, 4 Cs 4.24
Na1 0.0000 0.0000 0.5000 (multiplicity 1)  8 Hg 3.35
Hg1 0.5000 0.5000 0.3151 (multiplicity 2)  1 Hg 3.02, 4 Na 3.35